(1)
A plane-wave DFT calculation with PBE was carried out for a relaxed Be2HgC crystal.

Geometry as POSCAR:
```
Be2HgC
1.0
0.000 2.868 2.868
2.868 0.000 2.868
2.868 2.868 0.000
Be Hg C
2 1 1
Direct
0.250 0.250 0.250
0.750 0.750 0.750
0.000 0.000 0.000
0.500 0.500 0.500
```

Computed properties:
* electronic total energy: -0.10366 hartree per atom
* DFT formation energy: 1.424 eV/atom
* SG: No. 225

(2)
A plane-wave DFT calculation with PBE was carried out for a relaxed HoH11Rh5 crystal.

Geometry as POSCAR:
```
HoH11Rh5
1.0
3.641 -3.887 0.000
3.641 3.887 0.000
-1.801 0.000 5.075
Ho H Rh
1 11 5
Direct
0.000 0.000 0.000
0.000 0.000 0.500
0.156 0.666 0.647
0.182 0.449 0.063
0.306 0.306 0.684
0.334 0.844 0.353
0.449 0.182 0.063
0.551 0.818 0.937
0.666 0.156 0.647
0.694 0.694 0.316
0.818 0.551 0.937
0.844 0.334 0.353
0.023 0.628 0.291
0.372 0.977 0.709
0.500 0.500 0.000
0.628 0.023 0.291
0.977 0.372 0.709
```

Computed properties:
* electronic total energy: -0.17228 hartree per atom
* SG: No. 12

(3)
A plane-wave DFT calculation with PBE was carried out for a relaxed SiAg4P crystal.

Geometry as POSCAR:
```
SiAg4P
1.0
0.000 3.850 3.850
3.850 0.000 3.850
3.850 3.850 0.000
Si Ag P
1 4 1
Direct
0.000 0.000 0.000
0.125 0.625 0.625
0.625 0.125 0.625
0.625 0.625 0.125
0.625 0.625 0.625
0.250 0.250 0.250
```

Computed properties:
* E_form (uncorrected): 575 meV/atom
* electronic total energy: -0.11507 hartree per atom
* SG: No. 216

(4)
A plane-wave DFT calculation with PBE was carried out for a relaxed LuPuZnTc crystal.

Geometry as POSCAR:
```
LuPuZnTc
1.0
0.000 3.437 3.437
3.437 0.000 3.437
3.437 3.437 0.000
Lu Pu Zn Tc
1 1 1 1
Direct
0.000 0.000 0.000
0.500 0.500 0.500
0.750 0.750 0.750
0.250 0.250 0.250
```

Computed properties:
* electronic total energy: -0.28171 hartree per atom
* DFT formation energy: -0.042 eV/atom
* SG: No. 216

(5)
A plane-wave DFT calculation with PBE was carried out for a relaxed Nd2NiAs3Rh4 crystal.

Geometry as POSCAR:
```
Nd2NiAs3Rh4
1.0
4.223 0.000 0.000
0.000 4.223 0.000
0.000 0.000 10.120
Nd Ni As Rh
2 1 3 4
Direct
0.000 0.500 0.239
0.500 0.000 0.761
0.500 0.500 0.000
0.000 0.000 0.000
0.000 0.500 0.638
0.500 0.000 0.362
0.000 0.000 0.500
0.000 0.500 0.875
0.500 0.000 0.125
0.500 0.500 0.500
```

Computed properties:
* electronic total energy: -0.24623 hartree per atom
* DFT formation energy: -0.833 eV/atom
* SG: No. 115

(6)
A plane-wave DFT calculation with PBE was carried out for a relaxed CaCoHg crystal.

Geometry as POSCAR:
```
CaCoHg
1.0
0.000 3.242 3.242
3.242 0.000 3.242
3.242 3.242 0.000
Ca Co Hg
1 1 1
Direct
0.000 0.000 0.000
0.750 0.750 0.750
0.500 0.500 0.500
```

Computed properties:
* electronic total energy: -0.10648 hartree per atom
* DFT formation energy: 0.239 eV/atom
* SG: No. 216

(7)
A plane-wave DFT calculation with PBE was carried out for a relaxed GdAlSn2 crystal.

Geometry as POSCAR:
```
GdAlSn2
1.0
4.597 0.000 0.000
0.000 4.597 0.000
0.000 0.000 4.561
Gd Al Sn
1 1 2
Direct
0.000 0.000 0.000
0.500 0.500 0.000
0.000 0.500 0.500
0.500 0.000 0.500
```

Computed properties:
* electronic total energy: -0.25287 hartree per atom
* DFT formation energy: -0.424 eV/atom
* SG: No. 123

(8)
A plane-wave DFT calculation with PBE was carried out for a relaxed PrDyThTl crystal.

Geometry as POSCAR:
```
PrDyThTl
1.0
0.000 3.925 3.925
3.925 0.000 3.925
3.925 3.925 0.000
Pr Dy Th Tl
1 1 1 1
Direct
0.000 0.000 0.000
0.500 0.500 0.500
0.250 0.250 0.250
0.750 0.750 0.750
```

Computed properties:
* electronic total energy: -0.17425 hartree per atom
* DFT formation energy: 0.050 eV/atom
* SG: No. 216

no.,DOS at the Fermi energy (states/eV/cell)
1,0.013
2,4.222
3,3.196
4,9.510
5,8.256
6,9.039
7,1.770
8,6.283